No. 1
DFT (GGA-PBE) results for a geometry-optimized TbYSiS structure.

Output
E = -26.18 eV/cell
Spin magnetization = 0.00 μB/atom
Calculated volume = 23.41 A^3/atom
Space group = R3m, No. 160
ρ = 5.5 g/cm³

Lattice parameters (Å, degrees): 4.0255 4.0255 7.0653 73.45 73.45 60.00
Last column: nearest neighbours and their distance in Å.
Positions (direct):
Tb: 0.6936 0.6936 0.9191  3 Si 2.86, 3 S 2.87
Y: 0.1946 0.1946 0.4162  3 Si 2.85, 3 S 2.86
Si: 0.9439 0.9439 0.1683  3 Y 2.85, 3 Tb 2.86
S: 0.4443 0.4443 0.6672  3 Y 2.86, 3 Tb 2.87

No. 2
DFT (GGA-PBE) results for a geometry-optimized Cs2HfV structure.

Output
E = -29.68 eV/cell
Spin magnetization = 0.81 μB/atom
Calculated volume = 61.50 A^3/atom
Space group = I-42d, No. 122
Formation energy = 1.484 eV per atom
ρ = 3.3 g/cm³

Lattice parameters (Å, degrees): 14.4727 14.4727 10.4999 46.43 46.43 90.00
Last column: nearest neighbours and their distance in Å.
Positions (direct):
Cs: 0.3925 0.1250 0.2500  2 V 3.67, 2 Hf 4.03
Cs: 0.3575 0.6250 0.2500  2 V 3.67, 2 Hf 4.03
Cs: 0.3750 0.6075 0.7500  2 V 3.67, 2 Hf 4.03
Cs: 0.8750 0.6425 0.7500  2 V 3.67, 2 Hf 4.03
Hf: 0.0000 0.0000 0.0000  2 V 2.35
Hf: 0.7500 0.2500 0.5000  2 V 2.35
V: 0.5000 0.5000 0.0000  2 Hf 2.35
V: 0.2500 0.7500 0.5000  2 Hf 2.35

No. 3
DFT (GGA-PBE) results for a geometry-optimized Tb2Al4Pd3Pt structure.

Output
E = -55.04 eV/cell
Spin magnetization = 0.00 μB/atom
Calculated volume = 18.74 A^3/atom
Space group = P-4m2, No. 115
Formation energy = -0.919 eV per atom
ρ = 8.3 g/cm³

Lattice parameters (Å, degrees): 4.2971 4.2971 10.1494 90.00 90.00 90.00
Last column: nearest neighbours and their distance in Å.
Positions (direct):
Tb: 0.5000 0.0000 0.2528  8 Al 3.27-3.35, 6 Pd 3.28-3.30, 2 Pt 3.30
Tb: 0.0000 0.5000 0.7472  8 Al 3.27-3.35, 6 Pd 3.28-3.30, 2 Pt 3.30
Al: 0.5000 0.5000 0.0000  4 Pd 2.53
Al: 0.0000 0.0000 0.0000  4 Pd 2.53
Al: 0.5000 0.0000 0.6270  3 Pd 2.45-2.51, 2 Pt 2.51
Al: 0.0000 0.5000 0.3730  3 Pd 2.45-2.51, 2 Pt 2.51
Pd: 0.0000 0.0000 0.5000  4 Al 2.51
Pd: 0.5000 0.0000 0.8680  5 Al 2.45-2.53
Pd: 0.0000 0.5000 0.1320  5 Al 2.45-2.53
Pt: 0.5000 0.5000 0.5000  4 Al 2.51